ZrTe2W | GGA-PBEsol | optimized geometry

Results
Raw formation energy: -0.1 eV/f.u.
Magnetization: 0.0000 μB per atom
DFT total energy: -7.520 eV/atom

abc: 3.483 4.140 6.511
angles: 108.54 105.52 90.00
Fractional coordinates of all 4 atoms:
Te: 0.206 0.706 0.412
W: 0.525 0.525 0.050
Zr: 0.799 0.299 0.598
Te: 0.970 0.970 0.940



BaCr2Ni | GGA-PBEsol | optimized geometry

Results
E_form: 1.25 eV/atom
Magnetization: 2.0185 μB per atom
DFT total energy: -5.947 eV/atom

abc: 4.749 4.749 4.749
angles: 60.00 60.00 60.00
Last column: magnetic moment on the atom in μB.
Fractional coordinates of all 4 atoms:
Ni: 0.500 0.500 0.500  0.51
Cr: 0.250 0.250 0.250  3.47
Cr: 0.750 0.750 0.750  3.47
Ba: 0.000 0.000 0.000  0.11



Among the records above, which one has the lowest magnetization?
ZrTe2W



Which of these has the lowest DFT total energy?
ZrTe2W